Co2GeIrO6: relaxed, PBE with a Hubbard U.

The structure belongs to space group R3 (No. 146, hexagonal axes); the cell edges are 5.1126, 5.1126 and 13.3617 Å and the angles 90.00°, 90.00° and 120.00°. The inequivalent atoms are Co at (0.0000, 0.0000, 0.0000), Co at (0.0000, 0.0000, 0.4845), Ge at (0.0000, 0.0000, 0.2004), Ir at (0.0000, 0.0000, 0.6877), O at (0.0090, 0.3395, 0.2605) and O at (0.0528, 0.6762, 0.7597).

As for the total energy: -63.410 eV/f.u.